DFT (GGA-PBE) results for a relaxed structure of Sc2In2Rh.

Properties
E_form   0.054 eV per atom
Energy above the most stable polymorph in this dataset   0.427 eV per atom

```
Sc2In2Rh
1.0
-1.906 1.906 8.004
1.906 -1.906 8.004
1.906 1.906 -8.004
Sc In Rh
2 2 1
direct
0.090 0.090 0.000
0.910 0.910 0.000
0.250 0.750 0.500
0.750 0.250 0.500
0.500 0.500 0.000
```